{
  "formula": "Sr2LiH6Pd",
  "functional": "PBE",
  "state": "relaxed",
  "spacegroup": "C2/m",
  "lattice": [[4.678, -2.710, 0.000], [4.678, 2.710, 0.000], [-3.143, 0.000, 4.419]],
  "species": ["Sr", "Sr", "Li", "H", "H", "H", "H", "H", "H", "Pd"],
  "fractional_positions": [[0.250, 0.250, 0.250], [0.750, 0.750, 0.750], [0.000, 0.000, 0.500], [0.253, 0.744, 0.245], [0.256, 0.256, 0.753], [0.256, 0.747, 0.755], [0.744, 0.253, 0.245], [0.744, 0.744, 0.247], [0.747, 0.256, 0.755], [0.500, 0.500, 0.000]]
}

{
  "formula": "Sr2LiH6Pd",
  "functional": "PBE",
  "state": "relaxed",
  "spacegroup": "I4/mmm",
  "lattice": [[-2.702, 2.702, 3.816], [2.702, -2.702, 3.816], [2.702, 2.702, -3.816]],
  "species": ["Sr", "Sr", "Li", "H", "H", "H", "H", "H", "H", "Pd"],
  "fractional_positions": [[0.250, 0.750, 0.500], [0.750, 0.250, 0.500], [0.000, 0.000, 0.000], [0.256, 0.256, 0.000], [0.256, 0.256, 0.511], [0.256, 0.744, 0.000], [0.744, 0.256, 0.000], [0.744, 0.744, 0.000], [0.744, 0.744, 0.489], [0.500, 0.500, 0.000]]
}

{
  "formula": "Sr2LiH6Pd",
  "functional": "PBE",
  "state": "relaxed",
  "spacegroup": "P2_1/c",
  "lattice": [[5.409, 0.000, 0.000], [0.000, 5.426, 0.000], [-5.405, 0.000, 7.643]],
  "species": ["Sr", "Sr", "Sr", "Sr", "Li", "Li", "H", "H", "H", "H", "H", "H", "H", "H", "H", "H", "H", "H", "Pd", "Pd"],
  "fractional_positions": [[0.250, 0.000, 0.250], [0.250, 0.500, 0.750], [0.750, 0.000, 0.750], [0.750, 0.500, 0.250], [0.000, 0.000, 0.500], [0.000, 0.500, 0.000], [0.254, 0.000, 0.755], [0.254, 0.245, 0.000], [0.254, 0.255, 0.500], [0.254, 0.500, 0.255], [0.256, 0.746, 0.501], [0.256, 0.754, 0.001], [0.744, 0.246, 0.999], [0.744, 0.254, 0.499], [0.746, 0.000, 0.245], [0.746, 0.500, 0.745], [0.746, 0.745, 0.500], [0.746, 0.755, 0.000], [0.500, 0.000, 0.000], [0.500, 0.500, 0.500]]
}

Number 1: relative energy among the computed polymorphs 0.00 eV per formula unit. Number 2: relative energy among the computed polymorphs 0.01 eV per formula unit. Number 3: relative energy among the computed polymorphs 0.00 eV per formula unit.